1.
# KSr3S (PBE, optimized geometry)
data_KSr3S
_chemical_formula_sum 'K1 Sr3 S1'
_symmetry_space_group_name_H-M 'P m -3 m'
_symmetry_Int_Tables_number 221
_symmetry_space_group_name_Hall '-P 4 2 3'
_cell_length_a 6.1195
_cell_length_b 6.1195
_cell_length_c 6.1195
_cell_angle_alpha 90.00
_cell_angle_beta 90.00
_cell_angle_gamma 90.00
loop_
_atom_site_label
_atom_site_type_symbol
_atom_site_fract_x
_atom_site_fract_y
_atom_site_fract_z
K1 K 0.0000 0.0000 0.0000
Sr1 Sr 0.0000 0.5000 0.5000
S1 S 0.5000 0.5000 0.5000
# crystal system	cubic
# density of states at the Fermi level	5.248	states/eV per cell
# total magnetic moment	0.000	μB/f.u.
# formation energy from raw total energies	-0.66	eV/atom

2.
# KSr2S (PBE, optimized geometry)
data_KSr2S
_chemical_formula_sum 'K3 Sr6 S3'
_symmetry_space_group_name_H-M 'R -3 m'
_symmetry_Int_Tables_number 166
_symmetry_space_group_name_Hall '-R 3 2"'
_cell_length_a 4.2119
_cell_length_b 4.2119
_cell_length_c 35.1876
_cell_angle_alpha 90.00
_cell_angle_beta 90.00
_cell_angle_gamma 120.00
loop_
_atom_site_label
_atom_site_type_symbol
_atom_site_fract_x
_atom_site_fract_y
_atom_site_fract_z
K1 K 0.0000 0.0000 0.0000
Sr1 Sr 0.0000 0.0000 0.1161
S1 S 0.0000 0.0000 0.5000
# crystal system	trigonal
# density of states at the Fermi level	7.754	states/eV per cell
# total magnetic moment	0.000	μB/f.u.
# formation energy from raw total energies	-0.91	eV/atom

3.
# K2SrTaS4 (PBE, optimized geometry)
data_K2SrTaS4
_chemical_formula_sum 'K4 Sr2 Ta2 S8'
_symmetry_space_group_name_H-M 'I -4'
_symmetry_Int_Tables_number 82
_symmetry_space_group_name_Hall 'I -4'
_cell_length_a 7.4447
_cell_length_b 7.4447
_cell_length_c 9.2354
_cell_angle_alpha 90.00
_cell_angle_beta 90.00
_cell_angle_gamma 90.00
loop_
_atom_site_label
_atom_site_type_symbol
_atom_site_fract_x
_atom_site_fract_y
_atom_site_fract_z
K1 K 0.0000 0.0000 0.0000
K2 K 0.0000 0.5000 0.2500
Sr1 Sr 0.0000 0.0000 0.5000
Ta1 Ta 0.0000 0.5000 0.7500
S1 S 0.1910 0.2839 0.6454
# crystal system	tetragonal
# density of states at the Fermi level	1.956	states/eV per cell
# total magnetic moment	1.009	μB/f.u.
# formation energy from raw total energies	-1.23	eV/atom

4.
# KSrTaS4 (PBE, optimized geometry)
data_KSrTaS4
_chemical_formula_sum 'K2 Sr2 Ta2 S8'
_symmetry_space_group_name_H-M 'P 1 21/m 1'
_symmetry_Int_Tables_number 11
_symmetry_space_group_name_Hall '-P 2yb'
_cell_length_a 7.0699
_cell_length_b 6.9973
_cell_length_c 8.8669
_cell_angle_alpha 90.00
_cell_angle_beta 106.81
_cell_angle_gamma 90.00
loop_
_atom_site_label
_atom_site_type_symbol
_atom_site_fract_x
_atom_site_fract_y
_atom_site_fract_z
K1 K 0.2247 0.2500 0.4326
Sr1 Sr 0.2737 0.2500 0.9478
Ta1 Ta 0.2760 0.7500 0.1857
S1 S 0.0759 0.7500 0.3466
S2 S 0.0905 0.7500 0.9292
S3 S 0.4879 0.0048 0.2295
# crystal system	monoclinic
# density of states at the Fermi level	0.000	states/eV per cell
# total magnetic moment	0.000	μB/f.u.
# formation energy from raw total energies	-1.45	eV/atom

5.
# K2SrTcS (PBE, optimized geometry)
data_K2SrTcS
_chemical_formula_sum 'K2 Sr1 Tc1 S1'
_symmetry_space_group_name_H-M 'P 4/m m m'
_symmetry_Int_Tables_number 123
_symmetry_space_group_name_Hall '-P 4 2'
_cell_length_a 6.2054
_cell_length_b 6.2054
_cell_length_c 4.4979
_cell_angle_alpha 90.00
_cell_angle_beta 90.00
_cell_angle_gamma 90.00
loop_
_atom_site_label
_atom_site_type_symbol
_atom_site_fract_x
_atom_site_fract_y
_atom_site_fract_z
K1 K 0.0000 0.5000 0.0000
Sr1 Sr 0.0000 0.0000 0.5000
Tc1 Tc 0.5000 0.5000 0.5000
S1 S 0.5000 0.5000 0.0000
# crystal system	tetragonal
# density of states at the Fermi level	4.157	states/eV per cell
# total magnetic moment	1.129	μB/f.u.
# formation energy from raw total energies	0.20	eV/atom

6.
# KSrTlS (PBE, optimized geometry)
data_KSrTlS
_chemical_formula_sum 'K2 Sr2 Tl2 S2'
_symmetry_space_group_name_H-M 'C 1 m 1'
_symmetry_Int_Tables_number 8
_symmetry_space_group_name_Hall 'C -2y'
_cell_length_a 11.7153
_cell_length_b 4.5594
_cell_length_c 5.7322
_cell_angle_alpha 90.00
_cell_angle_beta 107.47
_cell_angle_gamma 90.00
loop_
_atom_site_label
_atom_site_type_symbol
_atom_site_fract_x
_atom_site_fract_y
_atom_site_fract_z
K1 K 0.0000 0.0000 0.0000
Sr1 Sr 0.3288 0.0000 0.4387
Tl1 Tl 0.1467 0.5000 0.6174
S1 S 0.2853 0.0000 0.9163
# crystal system	monoclinic
# density of states at the Fermi level	1.618	states/eV per cell
# total magnetic moment	0.000	μB/f.u.
# formation energy from raw total energies	-0.66	eV/atom

7.
# KSrTlS (PBE, optimized geometry)
data_KSrTlS
_chemical_formula_sum 'K1 Sr1 Tl1 S1'
_symmetry_space_group_name_H-M 'P 3 m 1'
_symmetry_Int_Tables_number 156
_symmetry_space_group_name_Hall 'P 3 -2"'
_cell_length_a 4.2693
_cell_length_b 4.2693
_cell_length_c 9.3433
_cell_angle_alpha 90.00
_cell_angle_beta 90.00
_cell_angle_gamma 120.00
loop_
_atom_site_label
_atom_site_type_symbol
_atom_site_fract_x
_atom_site_fract_y
_atom_site_fract_z
K1 K 0.0000 0.0000 0.0000
Sr1 Sr 0.6667 0.3333 0.3708
Tl1 Tl 0.3333 0.6667 0.6739
S1 S 0.3333 0.6667 0.2148
# crystal system	trigonal
# density of states at the Fermi level	1.771	states/eV per cell
# total magnetic moment	0.000	μB/f.u.
# formation energy from raw total energies	-0.90	eV/atom

8.
# KSrTlS2 (PBE, optimized geometry)
data_KSrTlS2
_chemical_formula_sum 'K2 Sr2 Tl2 S4'
_symmetry_space_group_name_H-M 'P 1 2/c 1'
_symmetry_Int_Tables_number 13
_symmetry_space_group_name_Hall '-P 2yc'
_cell_length_a 7.8291
_cell_length_b 7.6781
_cell_length_c 7.7760
_cell_angle_alpha 90.00
_cell_angle_beta 90.80
_cell_angle_gamma 90.00
loop_
_atom_site_label
_atom_site_type_symbol
_atom_site_fract_x
_atom_site_fract_y
_atom_site_fract_z
K1 K 0.0000 0.0108 0.2500
Sr1 Sr 0.5000 0.0026 0.7500
Tl1 Tl 0.5000 0.5000 0.0000
S1 S 0.2872 0.1730 0.9989
# crystal system	monoclinic
# total magnetic moment	0.000	μB/f.u.
# formation energy from raw total energies	-1.00	eV/atom

9.
# KSrTlS (PBE, optimized geometry)
data_KSrTlS
_chemical_formula_sum 'K2 Sr2 Tl2 S2'
_symmetry_space_group_name_H-M 'A m m 2'
_symmetry_Int_Tables_number 38
_symmetry_space_group_name_Hall 'A 2 -2'
_cell_length_a 3.9574
_cell_length_b 4.2043
_cell_length_c 16.1411
_cell_angle_alpha 90.00
_cell_angle_beta 90.00
_cell_angle_gamma 90.00
loop_
_atom_site_label
_atom_site_type_symbol
_atom_site_fract_x
_atom_site_fract_y
_atom_site_fract_z
K1 K 0.0000 0.0000 0.0000
Sr1 Sr 0.0000 0.0000 0.7174
Tl1 Tl 0.5000 0.0000 0.3570
S1 S 0.5000 0.0000 0.1648
# crystal system	orthorhombic
# density of states at the Fermi level	2.070	states/eV per cell
# total magnetic moment	0.000	μB/f.u.
# formation energy from raw total energies	-0.93	eV/atom

10.
# KSrTlS (PBE, optimized geometry)
data_KSrTlS
_chemical_formula_sum 'K3 Sr3 Tl3 S3'
_symmetry_space_group_name_H-M 'R 3 m'
_symmetry_Int_Tables_number 160
_symmetry_space_group_name_Hall 'R 3 -2"'
_cell_length_a 4.2391
_cell_length_b 4.2391
_cell_length_c 28.4711
_cell_angle_alpha 90.00
_cell_angle_beta 90.00
_cell_angle_gamma 120.00
loop_
_atom_site_label
_atom_site_type_symbol
_atom_site_fract_x
_atom_site_fract_y
_atom_site_fract_z
K1 K 0.0000 0.0000 0.0000
Sr1 Sr 0.0000 0.0000 0.5444
Tl1 Tl 0.0000 0.0000 0.7772
S1 S 0.0000 0.0000 0.2629
# crystal system	trigonal
# density of states at the Fermi level	7.571	states/eV per cell
# total magnetic moment	0.000	μB/f.u.
# formation energy from raw total energies	-0.89	eV/atom

11.
# KSr2TlS4 (PBE, optimized geometry)
data_KSr2TlS4
_chemical_formula_sum 'K4 Sr8 Tl4 S16'
_symmetry_space_group_name_H-M 'I m m a'
_symmetry_Int_Tables_number 74
_symmetry_space_group_name_Hall '-I 2b 2'
_cell_length_a 8.6026
_cell_length_b 8.7221
_cell_length_c 11.8142
_cell_angle_alpha 90.00
_cell_angle_beta 90.00
_cell_angle_gamma 90.00
loop_
_atom_site_label
_atom_site_type_symbol
_atom_site_fract_x
_atom_site_fract_y
_atom_site_fract_z
K1 K 0.2500 0.2500 0.2500
Sr1 Sr 0.0000 0.0000 0.0000
Sr2 Sr 0.2500 0.2500 0.7500
Tl1 Tl 0.0000 0.0000 0.5000
S1 S 0.0000 0.0120 0.7172
S2 S 0.2373 0.2500 0.9949
# crystal system	orthorhombic
# total magnetic moment	0.000	μB/f.u.
# formation energy from raw total energies	-1.25	eV/atom

12.
# K3SrTm2S6 (PBE, optimized geometry)
data_K3SrTm2S6
_chemical_formula_sum 'K6 Sr2 Tm4 S12'
_symmetry_space_group_name_H-M 'C 1 2/m 1'
_symmetry_Int_Tables_number 12
_symmetry_space_group_name_Hall '-C 2y'
_cell_length_a 7.1243
_cell_length_b 12.3414
_cell_length_c 7.7589
_cell_angle_alpha 90.00
_cell_angle_beta 107.95
_cell_angle_gamma 90.00
loop_
_atom_site_label
_atom_site_type_symbol
_atom_site_fract_x
_atom_site_fract_y
_atom_site_fract_z
K1 K 0.0000 0.0000 0.0000
K2 K 0.0000 0.3380 0.0000
Sr1 Sr 0.0000 0.5000 0.5000
Tm1 Tm 0.0000 0.1670 0.5000
S1 S 0.2100 0.0000 0.7033
S2 S 0.2476 0.3207 0.7038
# crystal system	monoclinic
# density of states at the Fermi level	22.599	states/eV per cell
# total magnetic moment	0.000	μB/f.u.
# formation energy from raw total energies	-1.69	eV/atom

13.
# K2SrUS6 (PBE, optimized geometry)
data_K2SrUS6
_chemical_formula_sum 'K4 Sr2 U2 S12'
_symmetry_space_group_name_H-M 'P 1 21/c 1'
_symmetry_Int_Tables_number 14
_symmetry_space_group_name_Hall '-P 2ybc'
_cell_length_a 7.4882
_cell_length_b 7.6751
_cell_length_c 13.0960
_cell_angle_alpha 90.00
_cell_angle_beta 124.58
_cell_angle_gamma 90.00
loop_
_atom_site_label
_atom_site_type_symbol
_atom_site_fract_x
_atom_site_fract_y
_atom_site_fract_z
K1 K 0.2425 0.0401 0.2511
Sr1 Sr 0.5000 0.0000 0.0000
U1 U 0.0000 0.0000 0.5000
S1 S 0.1546 0.2297 0.9662
S2 S 0.2462 0.6901 0.9729
S3 S 0.2879 0.0187 0.7309
# crystal system	monoclinic
# density of states at the Fermi level	12.132	states/eV per cell
# total magnetic moment	2.081	μB/f.u.
# formation energy from raw total energies	-1.13	eV/atom

14.
# KSrUS4 (PBE, optimized geometry)
data_KSrUS4
_chemical_formula_sum 'K2 Sr2 U2 S8'
_symmetry_space_group_name_H-M 'I 4 m m'
_symmetry_Int_Tables_number 107
_symmetry_space_group_name_Hall 'I 4 -2'
_cell_length_a 5.2035
_cell_length_b 5.2035
_cell_length_c 15.2904
_cell_angle_alpha 90.00
_cell_angle_beta 90.00
_cell_angle_gamma 90.00
loop_
_atom_site_label
_atom_site_type_symbol
_atom_site_fract_x
_atom_site_fract_y
_atom_site_fract_z
K1 K 0.0000 0.0000 0.0000
Sr1 Sr 0.0000 0.0000 0.7222
U1 U 0.0000 0.0000 0.3619
S1 S 0.0000 0.0000 0.1965
S2 S 0.0000 0.0000 0.5278
S3 S 0.0000 0.5000 0.3508
# crystal system	tetragonal
# density of states at the Fermi level	8.298	states/eV per cell
# total magnetic moment	1.001	μB/f.u.
# formation energy from raw total energies	-1.51	eV/atom

15.
# K2SrVS4 (PBE, optimized geometry)
data_K2SrVS4
_chemical_formula_sum 'K4 Sr2 V2 S8'
_symmetry_space_group_name_H-M 'P m n 21'
_symmetry_Int_Tables_number 31
_symmetry_space_group_name_Hall 'P 2ac -2'
_cell_length_a 8.6273
_cell_length_b 9.1892
_cell_length_c 6.2633
_cell_angle_alpha 90.00
_cell_angle_beta 90.00
_cell_angle_gamma 90.00
loop_
_atom_site_label
_atom_site_type_symbol
_atom_site_fract_x
_atom_site_fract_y
_atom_site_fract_z
K1 K 0.2142 0.1421 0.0000
Sr1 Sr 0.0000 0.3960 0.4900
V1 V 0.0000 0.6807 0.9177
S1 S 0.0000 0.4413 0.9953
S2 S 0.0000 0.6952 0.5683
S3 S 0.2221 0.7957 0.0090
# crystal system	orthorhombic
# density of states at the Fermi level	10.985	states/eV per cell
# total magnetic moment	1.000	μB/f.u.
# formation energy from raw total energies	-1.24	eV/atom

16.
# KSrVS4 (PBE, optimized geometry)
data_KSrVS4
_chemical_formula_sum 'K2 Sr2 V2 S8'
_symmetry_space_group_name_H-M 'P 1 21/m 1'
_symmetry_Int_Tables_number 11
_symmetry_space_group_name_Hall '-P 2yb'
_cell_length_a 6.8162
_cell_length_b 6.7207
_cell_length_c 8.8493
_cell_angle_alpha 90.00
_cell_angle_beta 107.04
_cell_angle_gamma 90.00
loop_
_atom_site_label
_atom_site_type_symbol
_atom_site_fract_x
_atom_site_fract_y
_atom_site_fract_z
K1 K 0.2201 0.2500 0.4316
Sr1 Sr 0.2672 0.2500 0.9519
V1 V 0.2927 0.7500 0.1905
S1 S 0.0942 0.7500 0.3407
S2 S 0.1193 0.7500 0.9438
S3 S 0.4969 0.0030 0.2370
# crystal system	monoclinic
# total magnetic moment	0.000	μB/f.u.
# formation energy from raw total energies	-1.36	eV/atom

17.
# K2SrZn2S4 (PBE, optimized geometry)
data_K2SrZn2S4
_chemical_formula_sum 'K4 Sr2 Zn4 S8'
_symmetry_space_group_name_H-M 'C 1 2/m 1'
_symmetry_Int_Tables_number 12
_symmetry_space_group_name_Hall '-C 2y'
_cell_length_a 15.8589
_cell_length_b 4.0569
_cell_length_c 8.0187
_cell_angle_alpha 90.00
_cell_angle_beta 113.63
_cell_angle_gamma 90.00
loop_
_atom_site_label
_atom_site_type_symbol
_atom_site_fract_x
_atom_site_fract_y
_atom_site_fract_z
K1 K 0.1213 0.0000 0.0579
Sr1 Sr 0.0000 0.0000 0.5000
Zn1 Zn 0.1722 0.5000 0.4706
S1 S 0.0237 0.5000 0.2562
S2 S 0.2129 0.0000 0.6608
# crystal system	monoclinic
# density of states at the Fermi level	0.000	states/eV per cell
# total magnetic moment	0.000	μB/f.u.
# formation energy from raw total energies	-1.23	eV/atom

18.
# K2SrZrS4 (PBE, optimized geometry)
data_K2SrZrS4
_chemical_formula_sum 'K2 Sr1 Zr1 S4'
_symmetry_space_group_name_H-M 'P 1 2/m 1'
_symmetry_Int_Tables_number 10
_symmetry_space_group_name_Hall '-P 2y'
_cell_length_a 7.2070
_cell_length_b 4.0305
_cell_length_c 7.6870
_cell_angle_alpha 90.00
_cell_angle_beta 107.38
_cell_angle_gamma 90.00
loop_
_atom_site_label
_atom_site_type_symbol
_atom_site_fract_x
_atom_site_fract_y
_atom_site_fract_z
K1 K 0.0000 0.0000 0.0000
K2 K 0.5000 0.5000 0.0000
Sr1 Sr 0.0000 0.5000 0.5000
Zr1 Zr 0.5000 0.0000 0.5000
S1 S 0.2741 0.0000 0.7035
S2 S 0.2947 0.5000 0.3030
# crystal system	monoclinic
# total magnetic moment	0.000	μB/f.u.
# formation energy from raw total energies	-1.61	eV/atom

19.
# K3TaS4 (PBE, optimized geometry)
data_K3TaS4
_chemical_formula_sum 'K6 Ta2 S8'
_symmetry_space_group_name_H-M 'I m m 2'
_symmetry_Int_Tables_number 44
_symmetry_space_group_name_Hall 'I 2 -2'
_cell_length_a 7.2547
_cell_length_b 10.0717
_cell_length_c 7.8736
_cell_angle_alpha 90.00
_cell_angle_beta 90.00
_cell_angle_gamma 90.00
loop_
_atom_site_label
_atom_site_type_symbol
_atom_site_fract_x
_atom_site_fract_y
_atom_site_fract_z
K1 K 0.0000 0.0000 0.0000
K2 K 0.0000 0.2283 0.5116
Ta1 Ta 0.0000 0.5000 0.9722
S1 S 0.0000 0.3102 0.1331
S2 S 0.2479 0.0000 0.3026
# crystal system	orthorhombic
# density of states at the Fermi level	0.000	states/eV per cell
# total magnetic moment	0.000	μB/f.u.
# formation energy from raw total energies	-1.16	eV/atom

20.
# K4TaS5 (PBE, optimized geometry)
data_K4TaS5
_chemical_formula_sum 'K8 Ta2 S10'
_symmetry_space_group_name_H-M 'I 4'
_symmetry_Int_Tables_number 79
_symmetry_space_group_name_Hall 'I 4'
_cell_length_a 9.6918
_cell_length_b 9.6918
_cell_length_c 6.5096
_cell_angle_alpha 90.00
_cell_angle_beta 90.00
_cell_angle_gamma 90.00
loop_
_atom_site_label
_atom_site_type_symbol
_atom_site_fract_x
_atom_site_fract_y
_atom_site_fract_z
K1 K 0.0937 0.7026 0.0000
Ta1 Ta 0.0000 0.0000 0.5795
S1 S 0.0000 0.0000 0.9288
S2 S 0.0727 0.7687 0.4909
# crystal system	tetragonal
# density of states at the Fermi level	2.024	states/eV per cell
# total magnetic moment	0.942	μB/f.u.
# formation energy from raw total energies	-1.09	eV/atom